P:
Pr4SmHg | the Alexandria database | PBE | optimized geometry; total magnetization = 0.00 μB per cell; DOS at the Fermi energy = 8.33 states/eV/cell
1.0
3.737 0.000 0.000
0.000 3.737 0.000
0.000 0.000 14.352
Pr Sm Hg
4 1 1
direct
0.500 0.500 0.177
0.000 0.000 0.643
0.000 0.000 0.357
0.500 0.500 0.823
0.000 0.000 0.000
0.500 0.500 0.500

Q:
Pr4SmHg | the Alexandria database | PBE | optimized geometry; total magnetization = 0.00 μB per cell; DOS at the Fermi energy = 16.83 states/eV/cell
1.0
6.551 -0.739 0.000
-2.596 8.964 0.000
-1.977 -4.112 7.140
Pr Sm Hg
8 2 2
direct
0.044 0.169 0.771
0.761 0.712 0.624
0.227 0.603 0.771
0.363 0.912 0.624
0.637 0.088 0.376
0.773 0.397 0.229
0.239 0.288 0.376
0.956 0.831 0.229
0.341 0.591 0.183
0.659 0.409 0.817
0.252 0.002 0.004
0.748 0.998 0.996

The least stable of them is Q.

P:
Pr3Sm2Hg | the Alexandria database | PBE | optimized geometry; total magnetization = 0.00 μB per cell; DOS at the Fermi energy = 13.96 states/eV/cell
1.0
-1.197 -5.758 2.186
-0.407 -4.848 -3.987
10.875 -3.855 1.904
Pr Sm Hg
6 4 2
direct
0.422 0.657 0.759
0.263 0.000 0.240
0.578 0.343 0.241
0.921 0.657 0.241
0.079 0.343 0.759
0.737 0.000 0.760
0.000 0.000 0.000
0.500 0.000 0.500
0.164 0.673 0.500
0.836 0.327 0.500
0.667 0.665 0.000
0.333 0.335 0.000

Q:
Pr3Sm2Hg | the Alexandria database | PBE | optimized geometry; total magnetization = 0.00 μB per cell; DOS at the Fermi energy = 8.03 states/eV/cell
1.0
3.818 0.000 0.000
0.000 5.444 -1.797
0.000 0.123 9.519
Pr Sm Hg
3 2 1
direct
0.000 0.685 0.369
0.000 0.315 0.631
0.500 0.500 0.000
0.500 0.859 0.718
0.500 0.141 0.282
0.000 0.000 0.000

The least stable of them is P.

P:
PrSm6Hg3 | the Alexandria database | PBE | optimized geometry; total magnetization = 0.00 μB per cell; DOS at the Fermi energy = 27.71 states/eV/cell
1.0
5.129 0.000 0.000
0.000 9.751 -5.575
0.000 -2.421 13.625
Pr Sm Hg
2 12 6
direct
0.250 0.541 0.712
0.750 0.459 0.288
0.250 0.074 0.445
0.750 0.926 0.555
0.250 0.266 0.089
0.750 0.734 0.911
0.250 0.648 0.033
0.750 0.352 0.967
0.250 0.676 0.290
0.750 0.324 0.710
0.250 0.333 0.375
0.750 0.667 0.625
0.250 0.966 0.794
0.750 0.034 0.206
0.250 0.227 0.773
0.750 0.773 0.227
0.250 0.688 0.512
0.750 0.312 0.488
0.250 0.940 0.031
0.750 0.060 0.969

Q:
PrSm6Hg3 | the Alexandria database | PBE | optimized geometry; total magnetization = 0.00 μB per cell; DOS at the Fermi energy = 29.44 states/eV/cell
1.0
8.554 0.000 0.000
0.000 8.620 0.541
0.000 -1.397 8.524
Pr Sm Hg
2 12 6
direct
0.996 0.320 0.680
0.496 0.680 0.320
0.162 0.734 0.611
0.662 0.611 0.734
0.308 0.565 0.934
0.808 0.934 0.565
0.190 0.044 0.956
0.584 0.229 0.771
0.084 0.771 0.229
0.690 0.956 0.044
0.308 0.066 0.435
0.808 0.435 0.066
0.162 0.389 0.266
0.662 0.266 0.389
0.460 0.897 0.727
0.960 0.727 0.897
0.356 0.422 0.578
0.856 0.578 0.422
0.960 0.103 0.273
0.460 0.273 0.103

The least stable of them is P.

P:
Pr3Sm2Hg2 | the Alexandria database | PBE | optimized geometry; total magnetization = 1.16 μB per cell; DOS at the Fermi energy = 8.62 states/eV/cell
1.0
3.743 0.000 -0.452
0.000 3.736 0.000
0.039 0.000 16.061
Pr Sm Hg
3 2 2
direct
0.419 0.500 0.837
0.581 0.500 0.163
0.000 0.000 0.000
0.298 0.500 0.595
0.702 0.500 0.405
0.144 0.000 0.289
0.856 0.000 0.711

Q:
Pr3Sm2Hg2 | the Alexandria database | PBE | optimized geometry; total magnetization = 0.00 μB per cell; DOS at the Fermi energy = 8.19 states/eV/cell
1.0
-0.100 -1.502 3.571
-1.644 -5.240 -4.353
9.452 1.464 0.880
Pr Sm Hg
3 2 2
direct
0.500 0.000 0.000
0.607 0.214 0.442
0.393 0.786 0.558
0.854 0.708 0.187
0.146 0.292 0.813
0.821 0.642 0.776
0.179 0.358 0.224

The least stable of them is P.

P:
Pr3SmHg | the Alexandria database | PBE | optimized geometry; total magnetization = 0.00 μB per cell; DOS at the Fermi energy = 12.39 states/eV/cell
1.0
3.718 0.000 -0.658
-0.053 5.737 -0.298
0.790 0.839 15.296
Pr Sm Hg
6 2 2
direct
0.048 0.261 0.096
0.952 0.739 0.904
0.340 0.749 0.680
0.660 0.251 0.320
0.129 0.753 0.258
0.871 0.247 0.742
0.734 0.751 0.467
0.266 0.249 0.533
0.541 0.766 0.082
0.459 0.234 0.918

Q:
Pr3SmHg | the Alexandria database | PBE | optimized geometry; total magnetization = 0.00 μB per cell; DOS at the Fermi energy = 11.10 states/eV/cell
1.0
6.919 -0.388 -1.057
-2.266 6.549 1.057
-3.428 -2.249 8.002
Pr Sm Hg
6 2 2
direct
0.737 0.915 0.148
0.233 0.411 0.148
0.767 0.589 0.852
0.817 0.446 0.263
0.263 0.085 0.852
0.183 0.554 0.737
0.682 0.059 0.741
0.318 0.941 0.259
0.741 0.758 0.499
0.259 0.242 0.501

The least stable of them is Q.

P:
TbPrSmHg | the Alexandria database | PBE | optimized geometry; total magnetization = 0.00 μB per cell; DOS at the Fermi energy = 5.00 states/eV/cell
1.0
3.691 0.000 0.000
0.000 3.691 0.000
0.000 0.000 9.003
Tb Pr Sm Hg
1 1 1 1
direct
0.500 0.500 0.356
0.000 0.000 0.075
0.500 0.500 0.789
0.000 0.000 0.564

Q:
TbPrSmHg | the Alexandria database | PBE | optimized geometry; total magnetization = 0.00 μB per cell; DOS at the Fermi energy = 5.58 states/eV/cell
1.0
5.524 0.000 0.000
2.762 4.784 0.000
2.762 1.595 4.511
Pr Tb Hg Sm
1 1 1 1
direct
0.000 0.000 0.000
0.750 0.750 0.750
0.250 0.250 0.250
0.500 0.500 0.500

The least stable of them is Q.

P:
PrSmTmHg | the Alexandria database | PBE | optimized geometry; total magnetization = 0.00 μB per cell; DOS at the Fermi energy = 5.63 states/eV/cell
1.0
-5.486 0.383 -0.225
-2.612 -0.682 -4.797
-3.040 -4.507 -0.862
Pr Tm Hg Sm
1 1 1 1
direct
0.000 0.000 0.000
0.750 0.750 0.750
0.250 0.250 0.250
0.500 0.500 0.500

Q:
PrSmTmHg | the Alexandria database | PBE | optimized geometry; total magnetization = 0.00 μB per cell; DOS at the Fermi energy = 4.46 states/eV/cell
1.0
3.679 0.000 0.000
0.000 3.679 0.000
0.000 0.000 8.894
Pr Sm Tm Hg
1 1 1 1
direct
0.000 0.000 0.079
0.500 0.500 0.789
0.500 0.500 0.359
0.000 0.000 0.557

The least stable of them is P.

P:
Pr2SnHg | the Alexandria database | PBE | optimized geometry; total magnetization = 0.00 μB per cell; DOS at the Fermi energy = 3.83 states/eV/cell
1.0
5.490 0.000 0.000
2.745 4.755 0.000
2.745 1.585 4.483
Pr Hg Sn
2 1 1
direct
0.250 0.250 0.250
0.750 0.750 0.750
0.500 0.500 0.500
0.000 0.000 0.000

Q:
Pr2SnHg | the Alexandria database | PBE | optimized geometry; total magnetization = 0.01 μB per cell; DOS at the Fermi energy = 11.93 states/eV/cell
1.0
-3.364 -0.435 3.071
-1.918 -5.382 -2.862
6.103 -1.714 6.442
Pr Sn Hg
4 2 2
direct
0.750 0.221 0.429
0.250 0.779 0.571
0.250 0.783 0.069
0.750 0.217 0.931
0.750 0.668 0.291
0.250 0.332 0.709
0.250 0.329 0.205
0.750 0.671 0.795

R:
Pr2SnHg | the Alexandria database | PBE | optimized geometry; total magnetization = 0.00 μB per cell; DOS at the Fermi energy = 3.71 states/eV/cell
1.0
4.139 0.000 0.000
0.000 5.315 0.000
0.000 0.000 5.315
Pr Hg Sn
2 1 1
direct
0.000 0.000 0.500
0.000 0.500 0.000
0.500 0.500 0.500
0.500 0.000 0.000

The least stable of them is Q.

P:
PrSn2Hg | the Alexandria database | PBE | optimized geometry; total magnetization = 0.00 μB per cell; DOS at the Fermi energy = 2.36 states/eV/cell
1.0
-3.388 -1.019 0.207
-0.977 -3.168 -1.253
0.509 -5.915 9.547
Pr Hg Sn
1 1 2
direct
0.000 0.000 0.000
0.500 0.500 0.500
0.097 0.097 0.710
0.903 0.903 0.290

Q:
PrSn2Hg | the Alexandria database | PBE | optimized geometry; total magnetization = 0.00 μB per cell; DOS at the Fermi energy = 1.34 states/eV/cell
1.0
-0.252 -4.369 1.355
1.430 -1.438 -4.371
4.594 0.183 1.442
Pr Hg Sn
1 1 2
direct
0.500 0.500 0.500
0.500 0.000 0.000
0.000 0.000 0.500
0.000 0.500 0.000

R:
PrSn2Hg | the Alexandria database | PBE | optimized geometry; total magnetization = 0.00 μB per cell; DOS at the Fermi energy = 2.58 states/eV/cell
1.0
3.996 0.000 0.000
0.000 3.996 0.000
0.000 0.000 6.894
Pr Hg Sn
1 1 2
direct
0.500 0.500 0.500
0.500 0.500 0.000
0.000 0.000 0.779
0.000 0.000 0.221

The least stable of them is P.

P:
Pr3Sn3Hg | the Alexandria database | PBE | optimized geometry; total magnetization = 0.00 μB per cell; DOS at the Fermi energy = 10.89 states/eV/cell
1.0
-4.623 -0.728 -0.355
-2.484 -2.047 5.531
-4.847 13.231 4.970
Pr Sn Hg
6 6 2
direct
0.517 0.343 0.624
0.483 0.657 0.376
0.270 0.233 0.227
0.730 0.767 0.773
0.394 0.288 0.924
0.606 0.712 0.076
0.865 0.726 0.543
0.135 0.274 0.457
0.118 0.839 0.925
0.882 0.161 0.075
0.999 0.778 0.223
0.001 0.222 0.777
0.775 0.071 0.379
0.225 0.929 0.621

Q:
Pr3Sn3Hg | the Alexandria database | PBE | optimized geometry; total magnetization = 0.00 μB per cell; DOS at the Fermi energy = 8.38 states/eV/cell
1.0
6.392 0.000 0.000
0.000 9.438 0.000
0.000 -4.719 8.174
Pr Sn Hg
6 6 2
direct
0.750 0.680 0.628
0.750 0.372 0.052
0.750 0.948 0.320
0.250 0.320 0.372
0.250 0.628 0.948
0.250 0.052 0.680
0.250 0.704 0.658
0.250 0.342 0.046
0.250 0.954 0.296
0.750 0.296 0.342
0.750 0.658 0.954
0.750 0.046 0.704
0.250 0.667 0.333
0.750 0.333 0.667

The least stable of them is Q.

P:
Pr2SnHg2 | the Alexandria database | PBE | optimized geometry; total magnetization = 0.00 μB per cell; DOS at the Fermi energy = 7.57 states/eV/cell
1.0
-1.782 4.223 1.106
-5.985 -0.402 1.947
3.190 1.334 10.095
Pr Sn Hg
4 2 4
direct
0.676 0.315 0.332
0.918 0.263 0.901
0.324 0.685 0.668
0.082 0.737 0.099
0.601 0.115 0.682
0.399 0.885 0.318
0.093 0.265 0.549
0.655 0.800 0.890
0.907 0.735 0.451
0.345 0.200 0.110

Q:
Pr2SnHg2 | the Alexandria database | PBE | optimized geometry; total magnetization = 0.00 μB per cell; DOS at the Fermi energy = 3.77 states/eV/cell
1.0
-0.793 1.524 8.116
-0.602 -3.099 7.671
3.707 -0.347 5.201
Pr Sn Hg
2 1 2
direct
0.697 0.697 0.823
0.303 0.303 0.177
0.000 0.000 0.000
0.399 0.399 0.518
0.601 0.601 0.482

The least stable of them is Q.